1.
Here is a PBEsol-optimized structure of CaHgBI2 from the Alexandria database. Energies are from meta-GGA SCAN.

Summary:
E_form (uncorrected): -0.02 eV/atom
magnetization: 0.0 μB/f.u.

abc: 5.800 5.800 4.199
angles: 90.00 90.00 90.00
Atoms (fractional coordinates):
Ca 0.000 0.000 0.000
Hg 0.500 0.500 0.000
B 0.500 0.500 0.500
I 0.000 0.500 0.500
I 0.500 0.000 0.500

2.
Here is a PBEsol-optimized structure of CaHgB2Pt from the Alexandria database. Energies are from meta-GGA SCAN.

Summary:
E_form: 581.7 kJ/mol of formula units
magnetization: 0.0 μB/f.u.

abc: 4.130 4.130 5.844
angles: 90.00 90.00 90.00
Atoms (fractional coordinates):
Ca 0.000 0.000 0.000
Hg 0.000 0.000 0.500
B 0.000 0.500 0.500
B 0.500 0.000 0.500
Pt 0.500 0.500 0.000

3.
Here is a PBEsol-optimized structure of CaZrHg2B from the Alexandria database. Energies are from meta-GGA SCAN.

Summary:
E_form: 238.7 kJ/mol of formula units
magnetization: 1.2 μB/f.u.

abc: 4.532 4.532 4.874
angles: 90.00 90.00 90.00
Atoms (fractional coordinates):
Ca 0.000 0.000 0.000
Zr 0.500 0.500 0.000
Hg 0.000 0.500 0.500
Hg 0.500 0.000 0.500
B 0.000 0.000 0.500

4.
Here is a PBEsol-optimized structure of Ca3BI from the Alexandria database. Energies are from meta-GGA SCAN.

Summary:
E_form (uncorrected): -0.26 eV/atom
magnetization: 0.0 μB/f.u.

abc: 5.274 5.274 5.274
angles: 90.00 90.00 90.00
Atoms (fractional coordinates):
Ca 0.000 0.000 0.500
Ca 0.000 0.500 0.000
Ca 0.500 0.000 0.000
B 0.000 0.000 0.000
I 0.500 0.500 0.500

5.
Here is a PBEsol-optimized structure of CaBPb2I from the Alexandria database. Energies are from meta-GGA SCAN.

Summary:
E_form (uncorrected): 1.06 eV/atom
magnetization: 0.6 μB/f.u.

abc: 6.070 6.070 4.514
angles: 90.00 90.00 90.00
Atoms (fractional coordinates):
Ca 0.000 0.000 0.000
B 0.000 0.000 0.500
Pb 0.000 0.500 0.000
Pb 0.500 0.000 0.000
I 0.500 0.500 0.500

6.
Here is a PBEsol-optimized structure of RbCa2InB from the Alexandria database. Energies are from meta-GGA SCAN.

Summary:
E_form: 698.5 kJ/mol of formula units
magnetization: 0.0 μB/f.u.

abc: 5.772 5.772 4.636
angles: 90.00 90.00 90.00
Atoms (fractional coordinates):
Rb 0.000 0.000 0.000
Ca 0.000 0.500 0.000
Ca 0.500 0.000 0.000
In 0.500 0.500 0.500
B 0.000 0.000 0.500

> Look up the magnetization of the first one.

0.0 μB/f.u.

> magnetization of number 2 (CaHgB2Pt)?

0.0 μB/f.u.